Compound: AlInNiP2
Source: Alexandria
Functional: GGA-PBE
Structure: optimized geometry

raw total energy = -0.3050 Ry/atom
calculated volume = 18.4 Å³/atom
crystal system = tetragonal
SG = P4/mmm
calculated formation energy = 0.466 eV/atom

Lattice parameters (Å, degrees): 4.3129 4.3129 4.9449 90.00 90.00 90.00
With the nearest neighbours (Å) after each atom.
Positions (direct):
Al1 0.0000 0.0000 0.0000  4 In 3.05, 8 P 3.28
In1 0.5000 0.5000 0.0000  2 Ni 2.47
Ni1 0.5000 0.5000 0.5000  4 P 2.16
P1 0.0000 0.5000 0.5000  2 Ni 2.16
P2 0.5000 0.0000 0.5000  2 Ni 2.16